Record 1
! PBE Ca2TiPb2, relaxed; values from VASP
! SG: P4/mbm, No. 127
&SYSTEM
  ibrav = 0, nat = 10, ntyp = 3
/
ATOMIC_SPECIES
Pb 207.20 Pb.upf
Ca 40.08 Ca.upf
Ti 47.87 Ti.upf
ATOMIC_POSITIONS angstrom
Pb 2.7469 6.6168 0.0000
Pb 6.6168 4.9928 0.0000
Pb 4.9928 1.1229 0.0000
Pb 1.1229 2.7469 0.0000
Ca 1.2852 5.1551 2.4110
Ca 5.1551 6.4546 2.4110
Ca 6.4546 2.5847 2.4110
Ca 2.5847 1.2852 2.4110
Ti 0.0000 0.0000 0.0000
Ti 3.8699 3.8699 0.0000
CELL_PARAMETERS angstrom
7.7398 0.0000 0.0000
0.0000 7.7398 0.0000
0.0000 0.0000 4.8220

---

Record 2
! PBE Ca2TiPb, relaxed; values from VASP
! SG: I-42d, No. 122
&SYSTEM
  ibrav = 0, nat = 8, ntyp = 3
/
ATOMIC_SPECIES
Pb 207.20 Pb.upf
Ca 40.08 Ca.upf
Ti 47.87 Ti.upf
ATOMIC_POSITIONS angstrom
Pb 0.0000 0.0000 0.0000
Pb 8.6974 4.3487 1.5813
Ca 6.5657 2.1743 0.7906
Ca 2.1317 6.5230 0.7906
Ca 6.5230 6.4804 2.3719
Ca 10.8717 10.9144 2.3719
Ti 4.3487 4.3487 0.0000
Ti 4.3487 8.6974 1.5813
CELL_PARAMETERS angstrom
8.6974 0.0000 0.0000
0.0000 8.6974 0.0000
4.3487 4.3487 3.1625

---

Record 3
! PBE CaTi3Pb, relaxed; values from VASP
! SG: Pm-3m, No. 221
! ΔE to the lowest computed polymorph in meV per atom: 523
&SYSTEM
  ibrav = 0, nat = 5, ntyp = 3
/
ATOMIC_SPECIES
Pb 207.20 Pb.upf
Ca 40.08 Ca.upf
Ti 47.87 Ti.upf
ATOMIC_POSITIONS angstrom
Pb -2.3712 -2.8843 1.9146
Ca 0.0000 0.0000 0.0000
Ti -1.8289 -1.2127 -1.0265
Ti 0.8191 -2.0609 0.9753
Ti -1.3614 0.3892 1.9658
CELL_PARAMETERS angstrom
-2.7228 0.7784 3.9316
-3.6579 -2.4253 -2.0530
1.6382 -4.1217 1.9505

---

Computed energy of formation from the pure elements, in the same sequence as the records: -0.2014 0.3617 1.5092 eV per atom.
Computed calculated volume, in the same sequence as the records: 288.86 239.23 113.75 Å³/cell.